1.
Entry from Alexandria via LeMat-Bulk: an optimized crystal structure of BPIr2 (GGA-PBE).

extended XYZ file:
```
8
Lattice="4.972 0.000 0.000 0.000 4.972 0.000 2.486 2.486 5.003" Properties=species:S:1:pos:R:3 pbc="T T T"
P 0.000 0.000 0.000
P 4.972 2.486 2.502
B 2.486 2.486 0.000
B 2.486 4.972 2.502
Ir 3.549 1.243 1.251
Ir 1.423 3.729 1.251
Ir 3.729 3.909 3.752
Ir 6.215 6.035 3.752
```

distance to the lowest polymorph of the same formula = 0 meV/atom
ρ = 11.445 g/cm3
formation energy = -0.20 eV per atom



2.
Entry from Alexandria via LeMat-Bulk: an optimized crystal structure of BaBSb2I (GGA-PBE).

extended XYZ file:
```
5
Lattice="-2.200 -3.560 2.450 4.062 -2.642 -0.192 2.093 2.789 5.931" Properties=species:S:1:pos:R:3 pbc="T T T"
I 1.047 1.394 2.965
Sb 2.031 -1.321 -0.096
Sb -1.100 -1.780 1.225
B 0.000 0.000 0.000
Ba 1.978 -1.707 4.095
```

distance to the lowest polymorph of the same formula = 0 meV/atom
ρ = 5.322 g/cm3
formation energy from raw total energies = 31 meV per atom



3.
Entry from Alexandria via LeMat-Bulk: an optimized crystal structure of LaZrGeH2 (GGA-PBE).

extended XYZ file:
```
5
Lattice="4.109 0.000 0.000 0.000 6.097 0.000 0.000 0.000 4.109" Properties=species:S:1:pos:R:3 pbc="T T T"
H 0.000 0.000 2.054
H 2.054 0.000 0.000
Ge 0.000 0.000 0.000
Zr 2.054 3.048 2.054
La 0.000 3.048 0.000
```

raw total energy = -3.974 eV per atom
ρ = 4.917 g/cm3



4.
Entry from Alexandria via LeMat-Bulk: an optimized crystal structure of NdErBi (GGA-PBE).

extended XYZ file:
```
3
Lattice="-3.288 -2.418 -0.335 1.369 -1.361 -3.612 3.667 -2.147 4.521" Properties=species:S:1:pos:R:3 pbc="T T T"
Nd 1.519 -5.584 0.358
Bi -0.288 -2.891 -1.341
Er 1.453 -2.166 1.367
```

ρ = 9.391 g/cm3
formation energy = -0.47 eV per atom



5.
Entry from Alexandria via LeMat-Bulk: an optimized crystal structure of CaCu2Au (GGA-PBE).

extended XYZ file:
```
4
Lattice="4.025 0.000 0.000 0.000 3.632 -0.011 0.000 1.750 5.042" Properties=species:S:1:pos:R:3 pbc="T T T"
Ca 2.012 4.245 3.997
Au 0.000 2.464 2.211
Cu 0.000 0.682 0.019
Cu 2.012 0.682 1.320
```

distance to the lowest polymorph of the same formula = 130 meV/atom
ρ = 8.196 g/cm3
formation energy = -0.15 eV per atom



6.
Entry from Alexandria via LeMat-Bulk: an optimized crystal structure of La2EuMg (GGA-PBE).

extended XYZ file:
```
4
Lattice="3.573 0.000 0.000 1.787 3.095 0.000 1.787 1.032 13.063" Properties=species:S:1:pos:R:3 pbc="T T T"
Eu 3.573 2.063 6.531
Mg 0.000 0.000 0.000
La 1.787 1.032 9.654
La 5.360 3.095 3.409
```

distance to the lowest polymorph of the same formula = 264 meV/atom
ρ = 5.220 g/cm3
formation energy = 0.25 eV per atom



7.
Entry from Alexandria via LeMat-Bulk: an optimized crystal structure of Np2Ga2S7 (GGA-PBE).

extended XYZ file:
```
11
Lattice="-3.028 -2.140 -5.092 -4.325 -2.476 4.677 -2.030 6.509 -0.463" Properties=species:S:1:pos:R:3 pbc="T T T"
Np -2.725 3.787 1.094
Np -3.629 0.246 3.120
Ga -2.724 0.072 -1.091
Ga -6.658 1.822 0.213
S -7.448 -0.315 0.126
S -2.774 -1.079 0.877
S -1.935 2.209 -1.004
S -6.608 2.973 -1.755
S -1.514 -1.070 -2.546
S -4.573 1.893 1.268
S -4.809 0.001 -2.146
```

ρ = 4.930 g/cm3
formation energy from raw total energies = -807 meV per atom



8.
Entry from Alexandria via LeMat-Bulk: an optimized crystal structure of TcSbCl2 (GGA-PBE).

extended XYZ file:
```
8
Lattice="8.538 0.000 0.000 0.000 8.538 0.000 4.269 4.269 2.569" Properties=species:S:1:pos:R:3 pbc="T T T"
Sb 0.000 0.000 0.000
Sb 8.538 4.269 1.284
Tc 4.269 4.269 0.000
Tc 4.269 8.538 1.284
Cl 5.322 2.135 0.642
Cl 3.216 6.404 0.642
Cl 6.404 7.485 1.926
Cl 10.673 9.591 1.926
```

distance to the lowest polymorph of the same formula = 280 meV/atom
ρ = 5.155 g/cm3
formation energy from raw total energies = 56 meV per atom



9.
Entry from Alexandria via LeMat-Bulk: an optimized crystal structure of K2Be2S3 (GGA-PBE).

extended XYZ file:
```
7
Lattice="3.542 0.000 -1.049 -0.949 6.900 -3.205 0.084 -1.775 6.787" Properties=species:S:1:pos:R:3 pbc="T T T"
K 1.395 -0.058 4.708
K 1.282 5.183 -2.176
Be 0.391 1.535 1.319
Be 2.286 3.589 1.214
S 0.000 0.000 0.000
S 0.163 3.552 0.551
S 2.513 1.572 1.981
```

ρ = 2.211 g/cm3
formation energy from raw total energies = -1053 meV per atom



10.
Entry from Alexandria via LeMat-Bulk: an optimized crystal structure of BPdS4 (GGA-PBE).

extended XYZ file:
```
12
Lattice="3.547 0.000 0.000 0.000 5.626 0.312 0.000 0.455 9.994" Properties=species:S:1:pos:R:3 pbc="T T T"
B 1.774 3.040 5.153
B 0.000 0.000 0.000
Pd 0.000 0.227 4.997
Pd 1.774 2.813 0.156
S 1.774 1.482 4.002
S 3.547 1.558 1.151
S 1.774 4.599 6.304
S 0.000 4.523 9.155
S 3.547 3.929 3.921
S 1.773 4.738 1.544
S 0.000 2.152 6.385
S 1.774 1.343 8.762
```

ρ = 4.098 g/cm3
formation energy from raw total energies = 148 meV per atom



11.
Entry from Alexandria via LeMat-Bulk: an optimized crystal structure of Ti3Mn2Os (GGA-PBE).

extended XYZ file:
```
6
Lattice="-1.948 2.277 -0.453 -1.206 -0.487 2.737 5.923 5.790 3.640" Properties=species:S:1:pos:R:3 pbc="T T T"
Ti 0.000 0.000 0.000
Ti 3.991 3.901 2.453
Ti 1.932 1.889 1.187
Mn 3.384 5.745 4.191
Mn -0.615 1.836 1.733
Os 1.384 3.790 2.962
```

ρ = 8.866 g/cm3
formation energy = -0.41 eV per atom



12.
Entry from Alexandria via LeMat-Bulk: an optimized crystal structure of PmPu5Rh3 (GGA-PBE).

extended XYZ file:
```
18
Lattice="-2.926 1.970 -6.350 2.103 -4.201 -5.540 -7.618 -6.207 0.010" Properties=species:S:1:pos:R:3 pbc="T T T"
Pm -5.407 -4.630 -1.703
Pm -3.034 -3.809 -10.176
Pu -4.318 -1.293 -7.799
Pu 0.496 -2.230 -5.798
Pu -0.832 -1.875 -9.121
Pu -3.735 -3.639 -4.537
Pu -4.707 -4.799 -7.342
Pu -7.610 -6.563 -2.758
Pu -1.168 -5.158 -7.291
Pu -1.320 -0.001 -6.091
Pu -4.124 -7.145 -4.081
Pu -7.273 -3.280 -4.588
Rh -6.662 -6.460 -7.858
Rh -2.369 -2.836 -6.897
Rh 0.000 0.000 0.000
Rh -3.809 -3.103 0.005
Rh -1.780 -1.978 -4.022
Rh -6.072 -5.602 -4.982
```

ρ = 11.828 g/cm3
formation energy = -0.10 eV per atom



13.
Entry from Alexandria via LeMat-Bulk: an optimized crystal structure of TlPb3F (GGA-PBE).

extended XYZ file:
```
5
Lattice="-0.477 5.844 0.940 -1.025 -1.011 5.761 5.830 0.301 1.090" Properties=species:S:1:pos:R:3 pbc="T T T"
Pb -0.513 -0.505 2.881
Pb 2.915 0.150 0.545
Pb -0.239 2.922 0.470
Tl 0.000 0.000 0.000
F 2.164 2.567 3.896
```

distance to the lowest polymorph of the same formula = 726 meV/atom
ρ = 6.701 g/cm3
formation energy from raw total energies = 260 meV per atom



14.
Entry from Alexandria via LeMat-Bulk: an optimized crystal structure of SmCu7O12 (GGA-PBE).

extended XYZ file:
```
20
Lattice="-4.361 -1.899 -4.217 3.438 -5.001 1.890 -2.901 2.598 5.024" Properties=species:S:1:pos:R:3 pbc="T T T"
Sm 0.000 0.000 0.000
Cu -3.631 0.350 0.404
Cu -0.461 -3.450 -1.163
Cu 0.269 -1.202 3.457
Cu -1.450 1.299 2.512
Cu -2.181 -0.949 -2.108
Cu -1.912 -2.151 1.349
Cu 1.719 -2.501 0.945
O -2.145 -0.194 1.425
O 1.110 -4.377 0.962
O -1.679 -4.108 1.272
O -4.934 0.075 1.735
O -1.520 -2.006 -0.579
O -1.875 -4.656 -1.473
O -2.304 -2.296 3.277
O -1.949 0.354 4.170
O -4.039 -1.465 -1.692
O 0.215 -2.838 4.389
O 0.008 -1.914 1.733
O -3.832 -2.388 0.964
```

ρ = 6.611 g/cm3
formation energy from raw total energies = -836 meV per atom



15.
Entry from Alexandria via LeMat-Bulk: an optimized crystal structure of YCdAs2 (GGA-PBE).

extended XYZ file:
```
8
Lattice="7.489 0.000 0.000 0.000 7.489 0.000 3.744 3.744 3.412" Properties=species:S:1:pos:R:3 pbc="T T T"
Y 3.744 3.744 0.000
Y 3.744 7.489 1.706
As 5.763 1.872 0.853
As 1.725 5.617 0.853
As 5.617 5.470 2.559
As 9.361 9.508 2.559
Cd 0.000 0.000 0.000
Cd 7.489 3.744 1.706
```

ρ = 6.094 g/cm3
formation energy = -0.48 eV per atom



16.
Entry from Alexandria via LeMat-Bulk: an optimized crystal structure of AcTb3Pr8 (GGA-PBE).

extended XYZ file:
```
12
Lattice="7.935 -2.327 -3.802 -5.552 7.299 0.180 -0.351 2.327 8.792" Properties=species:S:1:pos:R:3 pbc="T T T"
Ac 1.211 0.000 0.797
Tb -0.989 6.250 1.408
Tb 2.934 1.049 3.705
Tb -2.852 4.813 4.551
Pr 3.426 1.197 -2.010
Pr 0.523 5.437 4.571
Pr 1.893 3.774 0.320
Pr -1.498 4.189 7.643
Pr -0.779 2.902 2.263
Pr -0.536 5.317 -1.898
Pr 3.802 4.396 3.559
Pr 0.078 1.981 5.429
```

ρ = 7.041 g/cm3
formation energy = 0.12 eV per atom



17.
Entry from Alexandria via LeMat-Bulk: an optimized crystal structure of LaNbTe2 (GGA-PBE).

extended XYZ file:
```
4
Lattice="2.108 0.000 10.275 -1.054 1.826 10.275 -1.054 -1.826 10.275" Properties=species:S:1:pos:R:3 pbc="T T T"
Nb 0.000 0.000 15.413
Te 0.000 0.000 27.564
Te 0.000 0.000 3.262
La 0.000 0.000 0.000
```

distance to the lowest polymorph of the same formula = 322 meV/atom
ρ = 6.814 g/cm3
formation energy from raw total energies = -348 meV per atom



18.
Entry from Alexandria via LeMat-Bulk: an optimized crystal structure of MnNi2Mo (GGA-PBE).

extended XYZ file:
```
8
Lattice="-2.865 1.698 0.871 -1.842 -2.872 -0.459 -1.088 -2.731 8.547" Properties=species:S:1:pos:R:3 pbc="T T T"
Ni -2.252 -0.005 2.611
Ni -1.822 -2.241 1.971
Ni -2.607 -2.529 6.558
Ni -4.909 -3.035 6.777
Mo 0.000 0.000 0.000
Mo -3.153 -0.810 4.812
Mn -2.353 -0.587 0.206
Mn -2.642 -3.095 4.147
```

distance to the lowest polymorph of the same formula = 495 meV/atom
ρ = 8.637 g/cm3
formation energy = 0.46 eV per atom



19.
Entry from Alexandria via LeMat-Bulk: an optimized crystal structure of Ce2ScPaAs4 (GGA-PBE).

extended XYZ file:
```
8
Lattice="4.117 0.000 0.000 0.000 7.074 0.111 0.000 -2.484 6.702" Properties=species:S:1:pos:R:3 pbc="T T T"
Ce 2.059 -1.242 3.351
Ce 0.000 2.295 3.407
Sc 0.000 0.000 0.000
Pa 2.059 3.537 0.056
As 2.059 1.116 1.586
As 2.059 3.474 5.228
As 0.000 -0.144 5.146
As 0.000 4.734 1.667
```

ρ = 7.239 g/cm3
formation energy = -1.31 eV per atom



20.
Entry from Alexandria via LeMat-Bulk: an optimized crystal structure of CsZrIrO6 (GGA-PBE).

extended XYZ file:
```
9
Lattice="5.483 0.000 0.000 2.742 4.749 0.000 0.000 0.000 6.707" Properties=species:S:1:pos:R:3 pbc="T T T"
Cs 5.483 0.000 6.707
Zr 5.483 3.166 3.354
Ir 2.742 1.583 3.354
O 1.185 1.805 2.239
O 2.156 0.124 4.468
O 4.298 1.805 4.468
O 1.771 2.820 4.468
O 3.712 2.819 2.239
O 3.327 0.124 2.239
```

ρ = 4.872 g/cm3
formation energy from raw total energies = -1594 meV per atom



21.
Entry from Alexandria via LeMat-Bulk: an optimized crystal structure of Ac4SnTe2P (GGA-PBE).

extended XYZ file:
```
8
Lattice="4.682 0.000 0.000 0.000 8.096 0.133 0.000 -2.837 7.717" Properties=species:S:1:pos:R:3 pbc="T T T"
Ac 2.341 1.250 1.758
Ac 2.341 4.009 6.092
Ac 0.000 -0.181 5.963
Ac 0.000 5.440 1.888
Sn 2.341 4.048 0.067
Te 2.341 -1.418 3.859
Te 0.000 2.630 3.925
P 0.000 0.000 0.000
```

ρ = 7.408 g/cm3
formation energy from raw total energies = -1339 meV per atom



22.
Entry from Alexandria via LeMat-Bulk: an optimized crystal structure of Pu4ScP5 (GGA-PBE).

extended XYZ file:
```
10
Lattice="3.878 0.000 -0.748 -0.288 5.382 -1.494 0.003 -0.007 10.441" Properties=species:S:1:pos:R:3 pbc="T T T"
Pu 1.444 2.155 7.484
Pu 2.882 4.313 4.514
Pu 0.711 1.061 3.685
Pu 2.149 3.220 0.715
Sc 0.000 0.000 0.000
P 2.284 0.514 1.413
P 3.018 1.609 5.216
P 0.576 3.765 2.983
P -0.144 2.691 -0.747
P 1.309 4.860 6.787
```

ρ = 8.960 g/cm3
formation energy = -1.21 eV per atom



23.
Entry from Alexandria via LeMat-Bulk: an optimized crystal structure of KBaMo2 (GGA-PBE).

extended XYZ file:
```
4
Lattice="4.196 -0.012 0.004 2.109 3.628 0.004 1.937 1.111 9.720" Properties=species:S:1:pos:R:3 pbc="T T T"
Ba 4.066 2.331 5.866
K 2.115 1.213 1.545
Mo 1.958 1.123 8.448
Mo 6.162 3.533 8.453
```

distance to the lowest polymorph of the same formula = 19 meV/atom
ρ = 4.127 g/cm3
formation energy = 0.79 eV per atom



24.
Entry from Alexandria via LeMat-Bulk: an optimized crystal structure of CaZnTe (GGA-PBE).

extended XYZ file:
```
6
Lattice="-0.357 4.793 -0.678 -3.168 2.591 2.610 5.477 3.897 7.292" Properties=species:S:1:pos:R:3 pbc="T T T"
Ca -0.480 5.326 3.157
Ca 2.432 5.955 6.068
Te -0.058 2.702 1.760
Te 2.010 8.578 7.464
Zn 0.049 8.155 5.503
Zn 1.904 3.126 3.721
```

distance to the lowest polymorph of the same formula = 0 meV/atom
ρ = 3.988 g/cm3
formation energy from raw total energies = -686 meV per atom



25.
Entry from Alexandria via LeMat-Bulk: an optimized crystal structure of P3RuC (GGA-PBE).

extended XYZ file:
```
5
Lattice="-1.748 -4.127 0.691 3.977 -1.406 1.664 -1.300 1.248 4.161" Properties=species:S:1:pos:R:3 pbc="T T T"
Ru 0.000 0.000 0.000
C 0.465 -2.142 3.258
P 1.989 -0.703 0.832
P -0.650 0.624 2.081
P -0.874 -2.063 0.346
```

distance to the lowest polymorph of the same formula = 852 meV/atom
ρ = 3.669 g/cm3
formation energy = 1.84 eV per atom